Compound: Sm6Au2O
Source: Alexandria via LeMat-Bulk
Functional: PBE
Structure: relaxed

Output
* density: 9.09 Mg/m³

Structure (CIF):
```
data_Sm6Au2O
_chemical_formula_sum 'Sm12 Au4 O2'
_space_group_name_H-M_alt 'P 1 21/c 1'
_space_group_IT_number 14
_cell_length_a 6.667
_cell_length_b 7.168
_cell_length_c 11.976
_cell_angle_alpha 90.00
_cell_angle_beta 123.14
_cell_angle_gamma 90.00
loop_
_space_group_symop_operation_xyz
'x,y,z'
'-x,-y,-z'
'-x,y+1/2,-z+1/2'
'x,-y+1/2,z+1/2'
loop_
_atom_site_label
_atom_site_type_symbol
_atom_site_fract_x
_atom_site_fract_y
_atom_site_fract_z
Sm1 Sm 0.119 0.020 0.243
Sm2 Sm 0.235 0.702 0.055
Sm3 Sm 0.363 0.190 0.054
Au1 Au 0.305 0.091 0.750
O1 O 0.000 0.000 0.000
```



Compound: Sm3AuO
Source: Alexandria via LeMat-Bulk
Functional: PBE
Structure: relaxed

Output
* density: 9.60 Mg/m³
* distance to the lowest polymorph of the same formula: 0 meV per atom

Structure (CIF):
```
data_Sm3AuO
_chemical_formula_sum 'Sm12 Au4 O4'
_space_group_name_H-M_alt 'C m c m'
_space_group_IT_number 63
_space_group_name_Hall '-C 2c 2'
_cell_length_a 3.770
_cell_length_b 12.537
_cell_length_c 9.724
_cell_angle_alpha 90.00
_cell_angle_beta 90.00
_cell_angle_gamma 90.00
loop_
_atom_site_label
_atom_site_type_symbol
_atom_site_fract_x
_atom_site_fract_y
_atom_site_fract_z
Sm1 Sm 0.000 0.058 0.250
Sm2 Sm 0.000 0.372 0.057
Au1 Au 0.000 0.246 0.750
O1 O 0.000 0.000 0.000
```



Compound: Sm4Au2O
Source: Alexandria via LeMat-Bulk
Functional: PBE
Structure: relaxed

Output
* density: 9.03 Mg/m³
* distance to the lowest polymorph of the same formula: 0 meV per atom

Structure (CIF):
```
data_Sm4Au2O
_chemical_formula_sum 'Sm8 Au4 O2'
_space_group_name_H-M_alt 'P 1 21/m 1'
_space_group_IT_number 11
_cell_length_a 6.930
_cell_length_b 7.140
_cell_length_c 7.825
_cell_angle_alpha 90.00
_cell_angle_beta 106.05
_cell_angle_gamma 90.00
loop_
_space_group_symop_operation_xyz
'x,y,z'
'-x,-y,-z'
'-x,y+1/2,-z'
'x,-y+1/2,z'
loop_
_atom_site_label
_atom_site_type_symbol
_atom_site_fract_x
_atom_site_fract_y
_atom_site_fract_z
Sm1 Sm 0.007 0.008 0.250
Sm2 Sm 0.414 0.250 0.596
Sm3 Sm 0.435 0.250 0.119
Au1 Au 0.224 0.750 0.548
Au2 Au 0.236 0.750 0.066
O1 O 0.236 0.250 0.306
```



Compound: SmAuO2
Source: Alexandria via LeMat-Bulk
Functional: PBE
Structure: relaxed

Output
* density: 8.47 Mg/m³

Structure (CIF):
```
data_SmAuO2
_chemical_formula_sum 'Sm2 Au2 O4'
_space_group_name_H-M_alt 'P m n 21'
_space_group_IT_number 31
_cell_length_a 3.614
_cell_length_b 6.292
_cell_length_c 6.543
_cell_angle_alpha 90.00
_cell_angle_beta 90.00
_cell_angle_gamma 90.00
loop_
_space_group_symop_operation_xyz
'x,y,z'
'-x+1/2,-y,z+1/2'
'-x,y,z'
'x+1/2,-y,z+1/2'
loop_
_atom_site_label
_atom_site_type_symbol
_atom_site_fract_x
_atom_site_fract_y
_atom_site_fract_z
Sm1 Sm 0.000 0.159 0.000
Au1 Au 0.000 0.323 0.541
O1 O 0.000 0.023 0.672
O2 O 0.000 0.629 0.459
```



Compound: Sm2AuO
Source: Alexandria via LeMat-Bulk
Functional: PBE
Structure: relaxed

Output
* density: 10.07 Mg/m³

Structure (CIF):
```
data_Sm2AuO
_chemical_formula_sum 'Sm6 Au3 O3'
_space_group_name_H-M_alt 'R -3 m'
_space_group_IT_number 166
_space_group_name_Hall '-R 3 2"'
_cell_length_a 3.7675
_cell_length_b 3.7675
_cell_length_c 20.6765
_cell_angle_alpha 90.00
_cell_angle_beta 90.00
_cell_angle_gamma 120.00
loop_
_atom_site_label
_atom_site_type_symbol
_atom_site_fract_x
_atom_site_fract_y
_atom_site_fract_z
Sm1 Sm 0.0000 0.0000 0.2323
Au1 Au 0.0000 0.0000 0.0000
O1 O 0.0000 0.0000 0.5000
```



Compound: Sm3AuO
Source: Alexandria via LeMat-Bulk
Functional: PBE
Structure: relaxed

Output
* density: 9.73 Mg/m³
* distance to the lowest polymorph of the same formula: 80 meV per atom

Structure (CIF):
```
data_Sm3AuO
_chemical_formula_sum 'Sm3 Au1 O1'
_space_group_name_H-M_alt 'P m -3 m'
_space_group_IT_number 221
_space_group_name_Hall '-P 4 2 3'
_cell_length_a 4.840
_cell_length_b 4.840
_cell_length_c 4.840
_cell_angle_alpha 90.00
_cell_angle_beta 90.00
_cell_angle_gamma 90.00
loop_
_atom_site_label
_atom_site_type_symbol
_atom_site_fract_x
_atom_site_fract_y
_atom_site_fract_z
Sm1 Sm 0.000 0.000 0.500
Au1 Au 0.500 0.500 0.500
O1 O 0.000 0.000 0.000
```



Compound: Sm4Au2O9
Source: Alexandria via LeMat-Bulk
Functional: PBE
Structure: relaxed

Output
* density: 8.69 Mg/m³

Structure (CIF):
```
data_Sm4Au2O9
_chemical_formula_sum 'Sm16 Au8 O36'
_space_group_name_H-M_alt 'P b c n'
_space_group_IT_number 60
_cell_length_a 11.944
_cell_length_b 6.101
_cell_length_c 11.953
_cell_angle_alpha 90.00
_cell_angle_beta 90.00
_cell_angle_gamma 90.00
loop_
_space_group_symop_operation_xyz
'x,y,z'
'-x,-y,-z'
'-x+1/2,-y+1/2,z+1/2'
'x+1/2,y+1/2,-z+1/2'
'x+1/2,-y+1/2,-z'
'-x+1/2,y+1/2,z'
'-x,y,-z+1/2'
'x,-y,z+1/2'
loop_
_atom_site_label
_atom_site_type_symbol
_atom_site_fract_x
_atom_site_fract_y
_atom_site_fract_z
Sm1 Sm 0.011 0.241 0.090
Sm2 Sm 0.159 0.196 0.764
Au1 Au 0.229 0.420 0.511
O1 O 0.000 0.024 0.250
O2 O 0.076 0.388 0.589
O3 O 0.114 0.063 0.945
O4 O 0.163 0.440 0.351
O5 O 0.197 0.127 0.160
```



Compound: Sm3AuO
Source: Alexandria via LeMat-Bulk
Functional: PBE
Structure: relaxed

Output
* density: 9.42 Mg/m³
* distance to the lowest polymorph of the same formula: 93 meV per atom

Structure (CIF):
```
data_Sm3AuO
_chemical_formula_sum 'Sm12 Au4 O4'
_space_group_name_H-M_alt 'C m m m'
_space_group_IT_number 65
_space_group_name_Hall '-C 2 2'
_cell_length_a 9.418
_cell_length_b 12.974
_cell_length_c 3.833
_cell_angle_alpha 90.00
_cell_angle_beta 90.00
_cell_angle_gamma 90.00
loop_
_atom_site_label
_atom_site_type_symbol
_atom_site_fract_x
_atom_site_fract_y
_atom_site_fract_z
Sm1 Sm 0.000 0.184 0.000
Sm2 Sm 0.189 0.368 0.500
Au1 Au 0.000 0.000 0.500
Au2 Au 0.000 0.500 0.000
O1 O 0.250 0.250 0.000
```



no.,uncorrected formation energy (eV per formula unit),density of states at the Fermi level (states/eV/atom)
1,-8.8,0.83
2,-7.3,1.13
3,-8.8,1.04
4,-8.1,0.00
5,-6.4,0.50
6,-6.9,1.22
7,-35.8,0.00
8,-6.9,0.80